1.
## Sr2LaYSe4 (PBE)

Data for Sr2LaYSe4 after structural relaxation.

Cell: 4.2800 7.4175 7.5530 Å, 109.06 90.00 90.00°
Closest atoms and distances in Å follow each position.
Atoms (fractional coordinates):
1 Sr 0.5000 0.0000 0.5000  6 Se 3.06
2 Sr 0.0000 0.5000 0.5000  6 Se 3.14
3 La 0.5000 0.5000 0.0000  6 Se 3.04
4 Y 0.0000 0.0000 0.0000  6 Se 2.96
5 Se 0.5000 0.2370 0.2351  2 Y 2.96, 1 La 3.04, 3 Sr 3.06-3.14
6 Se 0.5000 0.7630 0.7649  2 Y 2.96, 1 La 3.04, 3 Sr 3.06-3.14
7 Se 0.0000 0.2443 0.7592  1 Y 2.96, 2 La 3.04, 3 Sr 3.06-3.14
8 Se 0.0000 0.7557 0.2408  1 Y 2.96, 2 La 3.04, 3 Sr 3.06-3.14

Properties
For the calculated volume, the calculation gives 28.3 Å³/atom. The space group is No. 10. The uncorrected formation energy comes out at -1.933 eV/atom.

2.
## SrLaY2Se4 (PBE)

Data for SrLaY2Se4 after structural relaxation.

Cell: 4.1872 7.3406 7.3122 Å, 70.97 90.00 90.00°
Closest atoms and distances in Å follow each position.
Atoms (fractional coordinates):
1 Sr 0.0000 0.5000 0.5000  6 Se 3.05-3.06
2 La 0.5000 0.5000 0.0000  6 Se 3.05-3.06
3 Y 0.0000 0.0000 0.0000  6 Se 2.91-2.92
4 Y 0.5000 0.0000 0.5000  6 Se 2.91-2.92
5 Se 0.0000 0.7672 0.7437  3 Y 2.91-2.92, 1 Sr 3.05, 2 La 3.06
6 Se 0.0000 0.2328 0.2563  3 Y 2.91-2.92, 1 Sr 3.05, 2 La 3.06
7 Se 0.5000 0.7678 0.2437  3 Y 2.91-2.92, 1 La 3.05, 2 Sr 3.06
8 Se 0.5000 0.2322 0.7563  3 Y 2.91-2.92, 1 La 3.05, 2 Sr 3.06

Properties
For the calculated volume, the calculation gives 26.6 Å³/atom. The space group is No. 10. The uncorrected formation energy comes out at -1.882 eV/atom.

3.
## La3TaSe (PBE)

Data for La3TaSe after structural relaxation.

Cell: 5.5827 5.5827 5.5827 Å, 90.00 90.00 90.00°
Closest atoms and distances in Å follow each position.
Atoms (fractional coordinates):
1 La 0.0000 0.5000 0.0000  2 Ta 2.79
2 La 0.0000 0.0000 0.5000  2 Ta 2.79
3 La 0.5000 0.0000 0.0000  2 Ta 2.79
4 Se 0.5000 0.5000 0.5000  12 La 3.95
5 Ta 0.0000 0.0000 0.0000  6 La 2.79

Properties
For the calculated volume, the calculation gives 34.8 Å³/atom. The space group is No. 221. The uncorrected formation energy comes out at 0.123 eV/atom.

4.
## LaTaSe (PBE)

Data for LaTaSe after structural relaxation.

Cell: 6.3951 6.3951 3.4052 Å, 74.56 74.56 30.88°
Closest atoms and distances in Å follow each position.
Atoms (fractional coordinates):
1 La 0.0000 0.0000 0.0000  5 Se 3.37-3.57, 5 Ta 3.37-3.57, 4 La 3.41
2 Se 0.3010 0.3010 0.6990  4 Ta 2.69
3 Ta 0.6990 0.6990 0.3010  4 Se 2.69

Properties
For the calculated volume, the calculation gives 22.9 Å³/atom. The space group is No. 107. The uncorrected formation energy comes out at -0.416 eV/atom.

5.
## LaTaSe2 (PBE)

Data for LaTaSe2 after structural relaxation.

Cell: 9.2775 9.2775 9.2775 Å, 23.39 23.39 23.39°
Closest atoms and distances in Å follow each position.
Atoms (fractional coordinates):
1 La 0.5000 0.5000 0.5000  6 Se 2.99
2 Se 0.9091 0.9091 0.9091  1 Ta 2.46
3 Se 0.0909 0.0909 0.0909  1 Ta 2.46
4 Ta 0.0000 0.0000 0.0000  2 Se 2.46

Properties
For the calculated volume, the calculation gives 27.6 Å³/atom. The space group is No. 166. The uncorrected formation energy comes out at -0.333 eV/atom.

6.
## La2TaSe (PBE)

Data for La2TaSe after structural relaxation.

Cell: 6.0535 6.0535 6.0535 Å, 137.00 137.00 62.44°
Closest atoms and distances in Å follow each position.
Atoms (fractional coordinates):
1 La 0.0000 0.0000 0.0000  4 Se 3.14, 4 La 3.41, 4 Ta 3.41
2 La 0.2500 0.7500 0.5000  4 Ta 3.14, 4 Se 3.41, 4 La 3.41
3 Se 0.5000 0.5000 0.0000  8 La 3.14-3.41, 4 Ta 3.41
4 Ta 0.7500 0.2500 0.5000  8 La 3.14-3.41, 4 Se 3.41

Properties
For the calculated volume, the calculation gives 25.5 Å³/atom. The space group is No. 119. The uncorrected formation energy comes out at -0.053 eV/atom.

7.
## LaTaSe3 (PBE)

Data for LaTaSe3 after structural relaxation.

Cell: 5.0240 5.0240 5.0240 Å, 90.00 90.00 90.00°
Closest atoms and distances in Å follow each position.
Atoms (fractional coordinates):
1 La 0.5000 0.5000 0.5000  12 Se 3.55
2 Se 0.0000 0.5000 0.0000  2 Ta 2.51
3 Se 0.0000 0.0000 0.5000  2 Ta 2.51
4 Se 0.5000 0.0000 0.0000  2 Ta 2.51
5 Ta 0.0000 0.0000 0.0000  6 Se 2.51

Properties
For the calculated volume, the calculation gives 25.4 Å³/atom. The space group is No. 221. The uncorrected formation energy comes out at -0.927 eV/atom.

8.
## La2TaSe (PBE)

Data for La2TaSe after structural relaxation.

Cell: 3.4614 3.4614 8.9469 Å, 90.00 90.00 90.02°
Closest atoms and distances in Å follow each position.
Atoms (fractional coordinates):
1 La 0.0000 0.0000 0.9418  4 Ta 3.34, 1 Se 3.46, 4 La 3.46
2 La 0.5000 0.5000 0.3155  4 Se 3.25, 1 Ta 3.33, 4 La 3.46
3 Se 0.0000 0.0000 0.5552  4 Ta 2.72
4 Ta 0.5000 0.5000 0.6875  4 Se 2.72

Properties
For the calculated volume, the calculation gives 26.8 Å³/atom. The space group is No. 99. The uncorrected formation energy comes out at -0.248 eV/atom.

9.
## LaTaSe2 (PBE)

Data for LaTaSe2 after structural relaxation.

Cell: 5.0526 5.0526 5.0526 Å, 60.00 60.00 60.00°
Closest atoms and distances in Å follow each position.
Atoms (fractional coordinates):
1 La 0.5000 0.5000 0.5000  4 Se 3.09, 4 Ta 3.09
2 Se 0.0000 0.0000 0.0000  4 Ta 3.09, 4 Se 3.09
3 Se 0.2500 0.2500 0.2500  4 La 3.09, 4 Se 3.09
4 Ta 0.7500 0.7500 0.7500  4 Se 3.09, 4 La 3.09

Properties
For the calculated volume, the calculation gives 22.8 Å³/atom. The space group is No. 216. The uncorrected formation energy comes out at 0.193 eV/atom.

10.
## LaTaSe2 (PBE)

Data for LaTaSe2 after structural relaxation.

Cell: 5.3648 5.3648 8.7131 Å, 72.07 72.07 90.00°
Closest atoms and distances in Å follow each position.
Atoms (fractional coordinates):
1 La 0.5000 0.5000 0.0000  4 Se 2.97
2 La 0.2500 0.7500 0.5000  4 Se 2.97
3 Se 0.7080 0.1250 0.2500  2 Ta 2.54
4 Se 0.0420 0.6250 0.2500  2 Ta 2.54
5 Se 0.3750 0.2920 0.7500  2 Ta 2.54
6 Se 0.8750 0.9580 0.7500  2 Ta 2.54
7 Ta 0.0000 0.0000 0.0000  4 Se 2.54
8 Ta 0.7500 0.2500 0.5000  4 Se 2.54

Properties
For the calculated volume, the calculation gives 28.2 Å³/atom. The space group is No. 122. The uncorrected formation energy comes out at -0.533 eV/atom.

11.
## La2TaSe (PBE)

Data for La2TaSe after structural relaxation.

Cell: 4.9579 7.0997 6.1177 Å, 30.61 90.00 90.00°
Closest atoms and distances in Å follow each position.
Atoms (fractional coordinates):
1 La 0.0000 0.0000 0.0000  2 Ta 3.06, 4 Se 3.07
2 La 0.5000 0.5000 0.0000  2 Se 3.06, 4 Ta 3.07
3 Se 0.5000 0.5000 0.5000  6 La 3.06-3.07
4 Ta 0.0000 0.0000 0.5000  6 La 3.06-3.07

Properties
For the calculated volume, the calculation gives 27.4 Å³/atom. The space group is No. 10. The uncorrected formation energy comes out at -0.292 eV/atom.

12.
## LaTa4Se8 (PBE)

Data for LaTa4Se8 after structural relaxation.

Cell: 7.0952 7.0952 8.4070 Å, 90.00 114.96 120.00°
Closest atoms and distances in Å follow each position.
Atoms (fractional coordinates):
1 La 0.0000 0.5000 0.5000  6 Se 2.92
2 Ta 0.0000 0.0000 0.0000  6 Se 2.58
3 Ta 0.0000 0.5000 0.0000  6 Se 2.63-2.66
4 Ta 0.5000 0.5000 0.0000  6 Se 2.63-2.66
5 Ta 0.5000 0.0000 0.0000  6 Se 2.63-2.66
6 Se 0.4827 0.7413 0.2240  3 Ta 2.63
7 Se 0.5173 0.2587 0.7760  3 Ta 2.63
8 Se 0.4726 0.2363 0.2253  3 Ta 2.58-2.66
9 Se 0.0110 0.2473 0.7747  3 Ta 2.58-2.66
10 Se 0.5274 0.7637 0.7747  3 Ta 2.58-2.66
11 Se 0.0110 0.7637 0.7747  3 Ta 2.58-2.66
12 Se 0.9890 0.2363 0.2253  3 Ta 2.58-2.66
13 Se 0.9890 0.7527 0.2253  3 Ta 2.58-2.66

Properties
For the calculated volume, the calculation gives 24.6 Å³/atom. The space group is No. 166. The uncorrected formation energy comes out at -0.903 eV/atom.

13.
## LaTaSe2 (PBE)

Data for LaTaSe2 after structural relaxation.

Cell: 3.6778 3.5744 7.1566 Å, 89.96 90.00 90.00°
Closest atoms and distances in Å follow each position.
Atoms (fractional coordinates):
1 La 0.5000 0.7500 0.7500  8 Se 3.09
2 Se 0.0000 0.2494 0.9903  2 Ta 2.61
3 Se 0.0000 0.2506 0.5097  2 Ta 2.61
4 Ta 0.5000 0.2500 0.2500  4 Se 2.61

Properties
For the calculated volume, the calculation gives 23.5 Å³/atom. The space group is No. 47. The uncorrected formation energy comes out at -0.800 eV/atom.

14.
## LaTaSe2 (PBE)

Data for LaTaSe2 after structural relaxation.

Cell: 3.7156 3.7156 6.7210 Å, 90.00 90.00 90.00°
Closest atoms and distances in Å follow each position.
Atoms (fractional coordinates):
1 La 0.5000 0.5000 0.7816  5 Se 3.00-3.17
2 Se 0.0000 0.0000 0.9959  1 Ta 2.80, 4 La 3.00
3 Se 0.5000 0.5000 0.3097  4 Ta 2.72
4 Ta 0.0000 0.0000 0.4129  5 Se 2.72-2.80

Properties
For the calculated volume, the calculation gives 23.2 Å³/atom. The space group is No. 99. The uncorrected formation energy comes out at -0.737 eV/atom.